No. 1
## AcTlSn (PBE-GGA)

Data for a geometry-optimized AcTlSn structure.

Values from the calculation:
Magnetic moment in μB per atom: 0.000
Space-group type: I4mm (107)
Crystal system: tetragonal
Mass density in g cm⁻³: 8.79
Energy of formation in kJ per mole of atoms: -27.7
V in Å³/atom: 34.64
E above lowest polymorph in meV/atom: 188

Lattice parameters (Å, degrees): 4.643 4.643 9.644 90.00 90.00 90.00
Sites, in units of the cell vectors:
1 Ac 0.000 0.000 0.000
2 Ac 0.500 0.500 0.500
3 Tl 0.000 0.000 0.665
4 Tl 0.500 0.500 0.165
5 Sn 0.000 0.000 0.348
6 Sn 0.500 0.500 0.848

---

No. 2
## Li3Tm2ThTe6 (PBE-GGA)

Data for a geometry-optimized Li3Tm2ThTe6 structure.

Values from the calculation:
Magnetic moment in μB per atom: 0.000
Space-group type: C2/m (12)
Formation energy from raw total energies in kcal/mol of atoms: -27.64
Crystal system: monoclinic
Mass density in g cm⁻³: 6.58
V in Å³/atom: 28.53

Lattice parameters (Å, degrees): 7.459 7.459 7.528 99.52 99.52 120.00
Sites, in units of the cell vectors:
1 Li 0.000 0.000 0.000
2 Li 0.335 0.665 0.000
3 Li 0.665 0.335 0.000
4 Tm 0.167 0.833 0.500
5 Tm 0.833 0.167 0.500
6 Th 0.500 0.500 0.500
7 Te 0.072 0.414 0.241
8 Te 0.245 0.245 0.759
9 Te 0.414 0.072 0.241
10 Te 0.586 0.928 0.759
11 Te 0.755 0.755 0.241
12 Te 0.928 0.586 0.759

---

No. 3
## TaAs2Os (PBE-GGA)

Data for a geometry-optimized TaAs2Os structure.

Values from the calculation:
Magnetic moment in μB per atom: 0.000
Space-group type: Imm2 (44)
Crystal system: orthorhombic
Mass density in g cm⁻³: 13.25
Energy of formation in kJ per mole of atoms: 8.4
V in Å³/atom: 16.32
E above lowest polymorph in meV/atom: 196

Lattice parameters (Å, degrees): 3.061 4.394 9.707 90.00 90.00 90.00
Sites, in units of the cell vectors:
1 Ta 0.000 0.000 0.000
2 Ta 0.500 0.500 0.500
3 As 0.000 0.000 0.469
4 As 0.000 0.500 0.249
5 As 0.500 0.000 0.749
6 As 0.500 0.500 0.969
7 Os 0.000 0.500 0.764
8 Os 0.500 0.000 0.264

---

Q: Look up the V of the first one.
A: 34.64 Å³/atom

---

Q: Number 2 is which compound?
A: Li3Tm2ThTe6